# 1
PBE-GGA Pm4Er5Tm3, optimized geometry; ΔH_f (0 K) = 0.236 eV/atom
1.0
8.000 -2.939 0.000
8.000 2.939 0.000
-4.203 0.000 8.319
Pm Er Tm
4 5 3
Direct
0.084 0.084 0.447
0.216 0.216 0.882
0.784 0.784 0.118
0.916 0.916 0.553
0.000 0.000 0.000
0.329 0.329 0.618
0.430 0.430 0.297
0.570 0.570 0.703
0.671 0.671 0.382
0.213 0.213 0.238
0.500 0.500 0.000
0.787 0.787 0.762

***

# 2
PBE-GGA BaScCl2, optimized geometry; energy relative to the elements, uncorrected = -1.206 eV/atom; relative energy among the computed polymorphs = 148 meV/atom
1.0
1.804 -3.628 0.000
1.804 3.628 0.000
0.000 0.000 9.145
Ba Sc Cl
1 1 2
Direct
0.000 0.000 0.000
0.000 0.000 0.500
0.500 0.500 0.290
0.500 0.500 0.710

***

# 3
PBE-GGA SiHgBi2Au, optimized geometry; energy relative to the elements, uncorrected = 0.986 eV/atom
1.0
5.680 0.000 0.000
0.000 5.680 0.000
0.000 0.000 5.128
Si Hg Bi Au
1 1 2 1
Direct
0.000 0.000 0.000
0.500 0.500 0.500
0.000 0.500 0.500
0.500 0.000 0.500
0.500 0.500 0.000

***

# 4
PBE-GGA Ba2LiZn6Pd, optimized geometry; ΔH_f (0 K) = -0.163 eV/atom
1.0
4.919 -4.939 0.000
4.919 4.939 0.000
-4.911 0.000 4.927
Ba Li Zn Pd
2 1 6 1
Direct
0.250 0.750 0.000
0.750 0.250 0.000
0.000 0.000 0.500
0.246 0.246 0.500
0.246 0.246 0.992
0.246 0.754 0.500
0.754 0.246 0.500
0.754 0.754 0.008
0.754 0.754 0.500
0.500 0.500 0.500

***

# 5
PBE-GGA Pm8Ir3PdI4, optimized geometry; energy relative to the elements, uncorrected = -0.963 eV/atom
1.0
7.287 -4.210 0.000
7.287 4.210 0.000
-4.850 0.000 8.063
Pm Ir Pd I
8 3 1 4
Direct
0.219 0.733 0.685
0.228 0.228 0.684
0.267 0.267 0.315
0.267 0.781 0.315
0.733 0.219 0.685
0.733 0.733 0.685
0.772 0.772 0.316
0.781 0.267 0.315
0.000 0.000 0.500
0.000 0.500 0.500
0.500 0.000 0.500
0.500 0.500 0.500
0.000 0.000 0.000
0.000 0.500 0.000
0.500 0.000 0.000
0.500 0.500 0.000

***

# 6
PBE-GGA PrDy5Tm12, optimized geometry; ΔH_f (0 K) = 0.121 eV/atom
1.0
5.546 -8.567 0.000
5.546 8.567 0.000
-0.004 0.000 5.882
Pr Dy Tm
1 5 12
Direct
0.000 0.000 0.000
0.167 0.833 0.500
0.330 0.670 0.000
0.500 0.500 0.500
0.670 0.330 0.000
0.833 0.167 0.500
0.011 0.345 0.950
0.159 0.493 0.450
0.177 0.177 0.543
0.331 0.331 0.042
0.345 0.011 0.950
0.493 0.159 0.450
0.507 0.841 0.550
0.655 0.989 0.050
0.669 0.669 0.958
0.823 0.823 0.457
0.841 0.507 0.550
0.989 0.655 0.050

***

# 7
PBE-GGA LiMnInGa, optimized geometry; ΔH_f (0 K) = -0.076 eV/atom
1.0
0.000 3.210 3.210
3.210 0.000 3.210
3.210 3.210 0.000
Li Mn In Ga
1 1 1 1
Direct
0.000 0.000 0.000
0.500 0.500 0.500
0.250 0.250 0.250
0.750 0.750 0.750

***

# 8
PBE-GGA TeHAu, optimized geometry; relative energy among the computed polymorphs = 0 meV/atom
1.0
4.087 0.000 0.000
0.146 6.702 0.000
1.987 3.076 5.625
Te H Au
2 2 2
Direct
0.000 0.000 0.000
0.236 0.883 0.513
0.560 0.441 0.314
0.657 0.444 0.197
0.118 0.442 0.757
0.618 0.942 0.757

***

# 9
PBE-GGA Y2Ho7Th2, optimized geometry; relative energy among the computed polymorphs = 8 meV/atom; ΔH_f (0 K) = 0.188 eV/atom
1.0
5.631 -5.755 0.000
5.631 5.755 0.000
-2.373 0.000 5.485
Y Ho Th
2 7 2
Direct
0.234 0.234 0.090
0.766 0.766 0.910
0.000 0.000 0.500
0.058 0.594 0.334
0.406 0.942 0.666
0.410 0.410 0.695
0.590 0.590 0.305
0.594 0.058 0.334
0.942 0.406 0.666
0.214 0.786 0.000
0.786 0.214 0.000

***

# 10
PBE-GGA YNi3, optimized geometry; ΔH_f (0 K) = -0.049 eV/atom
1.0
3.237 0.000 0.000
0.000 3.237 0.000
0.000 0.000 5.695
Y Ni
1 3
Direct
0.000 0.000 0.000
0.000 0.000 0.500
0.500 0.500 0.296
0.500 0.500 0.704

***

# 11
PBE-GGA TlCuSnRh2, optimized geometry; ΔH_f (0 K) = 0.718 eV/atom
1.0
4.710 0.000 0.000
0.000 4.710 0.000
0.000 0.000 4.710
Tl Cu Sn Rh
1 1 1 2
Direct
0.000 0.000 0.000
0.000 0.000 0.500
0.500 0.500 0.000
0.000 0.500 0.500
0.500 0.000 0.500

***

# 12
PBE-GGA La2ScFe, optimized geometry; relative energy among the computed polymorphs = 84 meV/atom; ΔH_f (0 K) = 0.199 eV/atom
1.0
3.648 0.000 0.000
0.000 3.648 0.000
0.000 0.000 7.944
La Sc Fe
2 1 1
Direct
0.000 0.000 0.212
0.000 0.000 0.788
0.500 0.500 0.500
0.500 0.500 0.000

***

# 13
PBE-GGA MgBiW2, optimized geometry; relative energy among the computed polymorphs = 244 meV/atom; ΔH_f (0 K) = 1.175 eV/atom
1.0
0.000 3.344 3.344
3.344 0.000 3.344
3.344 3.344 0.000
Mg Bi W
1 1 2
Direct
0.000 0.000 0.000
0.500 0.500 0.500
0.250 0.250 0.250
0.750 0.750 0.750

***

# 14
PBE-GGA TiSb2PdRu, optimized geometry; energy relative to the elements, uncorrected = 0.691 eV/atom
1.0
5.177 0.000 0.000
0.000 5.177 0.000
0.000 0.000 4.427
Ti Sb Pd Ru
1 2 1 1
Direct
0.000 0.000 0.000
0.000 0.500 0.000
0.500 0.000 0.000
0.500 0.500 0.500
0.000 0.000 0.500

***

# 15
PBE-GGA TmScCoPt, optimized geometry; ΔH_f (0 K) = -0.750 eV/atom
1.0
0.000 3.306 3.306
3.306 0.000 3.306
3.306 3.306 0.000
Tm Sc Co Pt
1 1 1 1
Direct
0.000 0.000 0.000
0.500 0.500 0.500
0.750 0.750 0.750
0.250 0.250 0.250

***

# 16
PBE-GGA MnCuW2, optimized geometry; relative energy among the computed polymorphs = 29 meV/atom; ΔH_f (0 K) = 0.265 eV/atom
1.0
1.591 -2.121 0.000
1.591 2.121 0.000
0.000 0.000 8.383
Mn Cu W
1 1 2
Direct
0.000 0.000 0.000
0.000 0.000 0.500
0.500 0.500 0.243
0.500 0.500 0.757

***

# 17
PBE-GGA NdPdPt4, optimized geometry; ΔH_f (0 K) = -0.669 eV/atom
1.0
0.000 3.800 3.800
3.800 0.000 3.800
3.800 3.800 0.000
Nd Pd Pt
1 1 4
Direct
0.000 0.000 0.000
0.250 0.250 0.250
0.126 0.625 0.625
0.625 0.126 0.625
0.625 0.625 0.126
0.625 0.625 0.625

***

# 18
PBE-GGA Pr5DyTm6, optimized geometry; ΔH_f (0 K) = 0.023 eV/atom
1.0
-2.558 4.990 7.662
2.558 -4.990 7.662
2.558 4.990 -7.662
Pr Dy Tm
5 1 6
Direct
0.000 0.000 0.000
0.167 0.667 0.500
0.335 0.335 0.000
0.665 0.665 0.000
0.833 0.333 0.500
0.500 0.000 0.500
0.085 0.834 0.251
0.251 0.500 0.751
0.417 0.166 0.251
0.583 0.834 0.749
0.749 0.500 0.249
0.915 0.166 0.749

***

# 19
PBE-GGA FeOsIN2, optimized geometry; energy relative to the elements, uncorrected = 1.057 eV/atom; relative energy among the computed polymorphs = 0 meV/atom
1.0
3.803 0.000 0.000
0.000 3.803 0.000
0.000 0.000 6.256
Fe Os I N
1 1 1 2
Direct
0.000 0.000 0.000
0.500 0.500 0.500
0.500 0.500 0.000
0.000 0.500 0.500
0.500 0.000 0.500

***

# 20
PBE-GGA Al2VZn, optimized geometry; ΔH_f (0 K) = -0.029 eV/atom
1.0
3.306 0.000 0.000
0.000 3.306 0.000
0.000 0.000 5.599
Al V Zn
2 1 1
Direct
0.000 0.000 0.242
0.000 0.000 0.758
0.500 0.500 0.000
0.500 0.500 0.500

***

# 21
PBE-GGA Pm3Ag2Hg2, optimized geometry; ΔH_f (0 K) = -0.320 eV/atom
1.0
5.045 0.000 0.000
-2.517 5.410 0.000
-0.003 -1.513 6.654
Pm Ag Hg
3 2 2
Direct
0.000 0.000 0.000
0.359 0.719 0.278
0.641 0.281 0.722
0.116 0.228 0.444
0.884 0.772 0.556
0.338 0.676 0.787
0.662 0.324 0.213

***

# 22
PBE-GGA HfTc6, optimized geometry; relative energy among the computed polymorphs = 1288 meV/atom; ΔH_f (0 K) = 1.263 eV/atom
1.0
-3.353 3.353 3.353
3.353 -3.353 3.353
3.353 3.353 -3.353
Hf Tc
1 6
Direct
0.000 0.000 0.000
0.250 0.500 0.750
0.250 0.750 0.500
0.500 0.250 0.750
0.500 0.750 0.250
0.750 0.250 0.500
0.750 0.500 0.250

***

# 23
PBE-GGA Nd9Dy2Y, optimized geometry; ΔH_f (0 K) = 0.014 eV/atom
1.0
5.160 0.000 0.000
0.000 5.160 0.000
0.000 0.000 15.479
Nd Dy Y
9 2 1
Direct
0.000 0.000 0.000
0.000 0.000 0.334
0.000 0.000 0.666
0.000 0.500 0.167
0.000 0.500 0.500
0.000 0.500 0.833
0.500 0.000 0.167
0.500 0.000 0.500
0.500 0.000 0.833
0.500 0.500 0.333
0.500 0.500 0.667
0.500 0.500 0.000

***

# 24
PBE-GGA ZrCd4Mo, optimized geometry; ΔH_f (0 K) = 0.279 eV/atom
1.0
0.000 3.913 3.913
3.913 0.000 3.913
3.913 3.913 0.000
Zr Cd Mo
1 4 1
Direct
0.000 0.000 0.000
0.126 0.625 0.625
0.625 0.126 0.625
0.625 0.625 0.126
0.625 0.625 0.625
0.250 0.250 0.250

***

# 25
PBE-GGA Nd2Ni3Ge4Rh, optimized geometry; ΔH_f (0 K) = -0.739 eV/atom
1.0
4.164 0.000 0.000
0.000 4.164 0.000
0.000 0.000 9.919
Nd Ni Ge Rh
2 3 4 1
Direct
0.000 0.500 0.244
0.500 0.000 0.756
0.000 0.500 0.877
0.500 0.000 0.123
0.500 0.500 0.500
0.000 0.000 0.000
0.000 0.500 0.636
0.500 0.000 0.364
0.500 0.500 0.000
0.000 0.000 0.500